The following is a GGA-PBE calculation of a relaxed structure of LiHf2Ni, from Alexandria via LeMat-Bulk.

Results
ΔE_f ... -0.0435 eV per atom
Magnetic moment ... 0.0 μB per formula unit
Calculated volume ... 66 Å³ per cell
DOS(E_F) ... 0.813 states/eV/atom

Unit cell a=4.478 b=4.478 c=3.316 alpha=90.00 beta=90.00 gamma=90.00
Fractional positions:
Li 0.000 0.000 0.000
Hf 0.000 0.500 0.500
Hf 0.500 0.000 0.500
Ni 0.500 0.500 0.000

***

The following is a GGA-PBE calculation of a relaxed structure of Li2Hf2Ni, from Alexandria via LeMat-Bulk.

Results
ΔE_f ... 0.4445 eV per atom
Magnetic moment ... 0.0 μB per formula unit
Calculated volume ... 212 Å³ per cell
Polymorph energy (0 for the lowest one) ... 209 meV/atom
DOS(E_F) ... 1.262 states/eV/atom

Unit cell a=6.439 b=6.439 c=5.119 alpha=90.00 beta=90.00 gamma=90.00
Fractional positions:
Li 0.159 0.341 0.000
Li 0.341 0.841 0.000
Li 0.659 0.159 0.000
Li 0.841 0.659 0.000
Hf 0.160 0.660 0.500
Hf 0.340 0.160 0.500
Hf 0.660 0.840 0.500
Hf 0.840 0.340 0.500
Ni 0.000 0.000 0.500
Ni 0.500 0.500 0.500

***

The following is a GGA-PBE calculation of a relaxed structure of LiHfNi2, from Alexandria via LeMat-Bulk.

Results
ΔE_f ... -0.2091 eV per atom
Magnetic moment ... 0.0 μB per formula unit
Calculated volume ... 56 Å³ per cell
DOS(E_F) ... 0.592 states/eV/atom

Unit cell a=4.193 b=4.193 c=3.187 alpha=90.00 beta=90.00 gamma=90.00
Fractional positions:
Li 0.000 0.000 0.000
Hf 0.500 0.500 0.000
Ni 0.000 0.500 0.500
Ni 0.500 0.000 0.500

***

The following is a GGA-PBE calculation of a relaxed structure of LiHf2Ni2, from Alexandria via LeMat-Bulk.

Results
ΔE_f ... -0.2943 eV per atom
Magnetic moment ... 0.0 μB per formula unit
Calculated volume ... 165 Å³ per cell
Polymorph energy (0 for the lowest one) ... 0 meV/atom
DOS(E_F) ... 0.891 states/eV/atom

Unit cell a=7.225 b=7.225 c=3.155 alpha=90.00 beta=90.00 gamma=90.00
Fractional positions:
Li 0.000 0.000 0.000
Li 0.500 0.500 0.000
Hf 0.164 0.336 0.500
Hf 0.336 0.836 0.500
Hf 0.664 0.164 0.500
Hf 0.836 0.664 0.500
Ni 0.130 0.630 0.000
Ni 0.370 0.130 0.000
Ni 0.630 0.870 0.000
Ni 0.870 0.370 0.000

***

The following is a GGA-PBE calculation of a relaxed structure of Li2HfNi, from Alexandria via LeMat-Bulk.

Results
ΔE_f ... 0.1301 eV per atom
Magnetic moment ... 0.0 μB per formula unit
Calculated volume ... 131 Å³ per cell
Polymorph energy (0 for the lowest one) ... 0 meV/atom
DOS(E_F) ... 0.643 states/eV/atom

Unit cell a=10.444 b=10.444 c=10.444 alpha=160.14 beta=160.14 gamma=28.23
Fractional positions:
Li 0.085 0.625 0.960
Li 0.375 0.335 0.460
Li 0.665 0.125 0.040
Li 0.875 0.915 0.540
Hf 0.250 0.750 0.500
Hf 0.500 0.500 0.000
Ni 0.000 0.000 0.000
Ni 0.750 0.250 0.500

***

The following is a GGA-PBE calculation of a relaxed structure of LiHfNi6, from Alexandria via LeMat-Bulk.

Results
ΔE_f ... -0.2214 eV per atom
Magnetic moment ... 1.7 μB per formula unit
Calculated volume ... 385 Å³ per cell
DOS(E_F) ... 1.031 states/eV/atom

Unit cell a=6.305 b=6.305 c=10.328 alpha=90.00 beta=90.00 gamma=110.36
Fractional positions:
Li 0.000 0.000 0.244
Li 0.000 0.000 0.756
Li 0.258 0.742 0.000
Li 0.742 0.258 0.000
Hf 0.256 0.744 0.500
Hf 0.500 0.500 0.246
Hf 0.500 0.500 0.754
Hf 0.744 0.256 0.500
Ni 0.000 0.000 0.000
Ni 0.000 0.000 0.500
Ni 0.113 0.370 0.119
Ni 0.113 0.370 0.881
Ni 0.118 0.364 0.370
Ni 0.118 0.364 0.630
Ni 0.248 0.752 0.242
Ni 0.248 0.752 0.758
Ni 0.364 0.118 0.370
Ni 0.364 0.118 0.630
Ni 0.370 0.113 0.119
Ni 0.370 0.113 0.881
Ni 0.500 0.500 0.000
Ni 0.500 0.500 0.500
Ni 0.630 0.887 0.119
Ni 0.630 0.887 0.881
Ni 0.636 0.882 0.370
Ni 0.636 0.882 0.630
Ni 0.752 0.248 0.242
Ni 0.752 0.248 0.758
Ni 0.882 0.636 0.370
Ni 0.882 0.636 0.630
Ni 0.887 0.630 0.119
Ni 0.887 0.630 0.881

***

The following is a GGA-PBE calculation of a relaxed structure of LiHf2NiPb, from Alexandria via LeMat-Bulk.

Results
ΔE_f ... 0.8120 eV per atom
Magnetic moment ... 0.0 μB per formula unit
Calculated volume ... 98 Å³ per cell
DOS(E_F) ... 1.171 states/eV/atom

Unit cell a=4.641 b=4.641 c=4.549 alpha=90.00 beta=90.00 gamma=90.00
Fractional positions:
Li 0.000 0.000 0.000
Hf 0.000 0.500 0.000
Hf 0.500 0.000 0.000
Ni 0.500 0.500 0.500
Pb 0.000 0.000 0.500

***

The following is a GGA-PBE calculation of a relaxed structure of LiHf2NiPt, from Alexandria via LeMat-Bulk.

Results
ΔE_f ... 0.0443 eV per atom
Magnetic moment ... 0.0 μB per formula unit
Calculated volume ... 92 Å³ per cell
DOS(E_F) ... 0.949 states/eV/atom

Unit cell a=4.757 b=4.757 c=4.063 alpha=90.00 beta=90.00 gamma=90.00
Fractional positions:
Li 0.000 0.000 0.000
Hf 0.000 0.500 0.500
Hf 0.500 0.000 0.500
Ni 0.000 0.000 0.500
Pt 0.500 0.500 0.000